Entry 1:
# Ac3AgAu2

A geometry-optimized Ac3AgAu2 structure (PBE-GGA, Alexandria via LeMat-Bulk).

a = 4.2227 Å, b = 4.8613 Å, c = 9.8576 Å
α = 90.00°, β = 102.37°, γ = 90.00°
With the nearest neighbours (Å) after each atom.
Element x y z (fractional)
Ac (0.3398, 0.0000, 0.6796)  4 Au 3.28
Ac (0.6602, 0.0000, 0.3204)  4 Au 3.28
Ac (0.5000, 0.5000, 0.0000)  4 Ag 3.22, 4 Au 3.25
Ag (0.0000, 0.0000, 0.0000)  4 Ac 3.22, 4 Au 3.46
Au (0.1281, 0.5000, 0.2562)  6 Ac 3.25-3.28, 2 Ag 3.46
Au (0.8719, 0.5000, 0.7438)  6 Ac 3.25-3.28, 2 Ag 3.46

DFT total energy	-4.10	eV per atom
calculated formation energy	-0.4747	eV per atom
space-group type	Cmmm
excess energy over the best structure of this formula in the dataset	132	meV per atom

***

Entry 2:
# Ac2Ag3Au5

A geometry-optimized Ac2Ag3Au5 structure (PBE-GGA, Alexandria via LeMat-Bulk).

a = 6.1946 Å, b = 9.4444 Å, c = 9.4444 Å
α = 70.62°, β = 70.86°, γ = 70.86°
With the nearest neighbours (Å) after each atom.
Element x y z (fractional)
Ac (0.1281, 0.5992, 0.1445)  7 Au 3.30-3.51, 3 Ag 3.43-3.48
Ac (0.6281, 0.1445, 0.5992)  7 Au 3.30-3.51, 3 Ag 3.43-3.48
Ac (0.8719, 0.4008, 0.8555)  7 Au 3.30-3.51, 3 Ag 3.43-3.48
Ac (0.3719, 0.8555, 0.4008)  7 Au 3.30-3.51, 3 Ag 3.43-3.48
Ag (0.3485, 0.5660, 0.7370)  5 Au 2.71-2.80
Ag (0.8485, 0.7370, 0.5660)  5 Au 2.71-2.80
Ag (0.6515, 0.4340, 0.2630)  5 Au 2.71-2.80
Ag (0.1515, 0.2630, 0.4340)  5 Au 2.71-2.80
Ag (0.2500, 0.0000, 0.0000)  6 Au 2.83-2.84, 2 Ag 3.10
Ag (0.7500, 0.0000, 0.0000)  6 Au 2.83-2.84, 2 Ag 3.10
Au (0.4030, 0.2738, 0.9201)  3 Ag 2.71-2.83, 2 Au 2.88
Au (0.9030, 0.9201, 0.2738)  3 Ag 2.71-2.83, 2 Au 2.88
Au (0.5970, 0.7262, 0.0799)  3 Ag 2.71-2.83, 2 Au 2.88
Au (0.0970, 0.0799, 0.7262)  3 Ag 2.71-2.83, 2 Au 2.88
Au (0.4511, 0.7989, 0.7989)  3 Ag 2.76-2.84, 2 Au 2.88
Au (0.5489, 0.2011, 0.2011)  3 Ag 2.76-2.84, 2 Au 2.88
Au (0.7500, 0.5000, 0.5000)  4 Ag 2.80, 2 Au 3.10
Au (0.2500, 0.5000, 0.5000)  4 Ag 2.80, 2 Au 3.10
Au (0.0489, 0.2011, 0.2011)  3 Ag 2.76-2.84, 2 Au 2.88
Au (0.9511, 0.7989, 0.7989)  3 Ag 2.76-2.84, 2 Au 2.88

DFT total energy	-3.75	eV per atom
calculated formation energy	-0.4375	eV per atom
space-group type	Ibam

***

Entry 3:
# Ac3AgAu3

A geometry-optimized Ac3AgAu3 structure (PBE-GGA, Alexandria via LeMat-Bulk).

a = 6.2892 Å, b = 9.4171 Å, c = 9.4171 Å
α = 120.00°, β = 90.00°, γ = 90.00°
With the nearest neighbours (Å) after each atom.
Element x y z (fractional)
Ac (0.7500, 0.6803, 0.6390)  5 Au 3.15-3.19, 1 Ag 3.40
Ac (0.7500, 0.3610, 0.0412)  5 Au 3.15-3.19, 1 Ag 3.40
Ac (0.7500, 0.9588, 0.3197)  5 Au 3.15-3.19, 1 Ag 3.40
Ac (0.2500, 0.3197, 0.3610)  5 Au 3.15-3.19, 1 Ag 3.40
Ac (0.2500, 0.6390, 0.9588)  5 Au 3.15-3.19, 1 Ag 3.40
Ac (0.2500, 0.0412, 0.6803)  5 Au 3.15-3.19, 1 Ag 3.40
Ag (0.2500, 0.6667, 0.3333)  3 Au 2.90
Ag (0.7500, 0.3333, 0.6667)  3 Au 2.90
Au (0.2500, 0.6894, 0.6518)  1 Ag 2.90, 5 Ac 3.15-3.19
Au (0.2500, 0.3482, 0.0376)  1 Ag 2.90, 5 Ac 3.15-3.19
Au (0.2500, 0.9624, 0.3106)  1 Ag 2.90, 5 Ac 3.15-3.19
Au (0.7500, 0.3106, 0.3482)  1 Ag 2.90, 5 Ac 3.15-3.19
Au (0.7500, 0.6518, 0.9624)  1 Ag 2.90, 5 Ac 3.15-3.19
Au (0.7500, 0.0376, 0.6894)  1 Ag 2.90, 5 Ac 3.15-3.19

DFT total energy	-4.12	eV per atom
calculated formation energy	-0.5442	eV per atom
space-group type	P6_3/m
excess energy over the best structure of this formula in the dataset	156	meV per atom

***

Entry 4:
# AcAgAu2

A geometry-optimized AcAgAu2 structure (PBE-GGA, Alexandria via LeMat-Bulk).

a = 4.6615 Å, b = 7.6939 Å, c = 10.8607 Å
α = 90.00°, β = 90.00°, γ = 90.00°
With the nearest neighbours (Å) after each atom.
Element x y z (fractional)
Ac (0.7500, 0.7946, 0.1621)  9 Au 3.23-3.58, 3 Ag 3.42-3.55
Ac (0.2500, 0.2054, 0.8379)  9 Au 3.23-3.58, 3 Ag 3.42-3.55
Ac (0.7500, 0.2946, 0.3379)  9 Au 3.23-3.58, 3 Ag 3.42-3.55
Ac (0.2500, 0.7054, 0.6621)  9 Au 3.23-3.58, 3 Ag 3.42-3.55
Ag (0.2500, 0.4584, 0.0973)  5 Au 2.84-2.98
Ag (0.2500, 0.9584, 0.4027)  5 Au 2.84-2.98
Ag (0.7500, 0.5416, 0.9027)  5 Au 2.84-2.98
Ag (0.7500, 0.0415, 0.5973)  5 Au 2.84-2.98
Au (0.7500, 0.9128, 0.8428)  2 Ag 2.84-2.93, 2 Au 2.85
Au (0.2500, 0.0872, 0.1572)  2 Ag 2.84-2.93, 2 Au 2.85
Au (0.7500, 0.4128, 0.6572)  2 Ag 2.84-2.93, 2 Au 2.85
Au (0.2500, 0.5872, 0.3428)  2 Ag 2.84-2.93, 2 Au 2.85
Au (0.7500, 0.7288, 0.4564)  3 Ag 2.85-2.98, 2 Au 2.85
Au (0.2500, 0.7712, 0.9564)  3 Ag 2.85-2.98, 2 Au 2.85
Au (0.7500, 0.2288, 0.0436)  3 Ag 2.85-2.98, 2 Au 2.85
Au (0.2500, 0.2712, 0.5436)  3 Ag 2.85-2.98, 2 Au 2.85

DFT total energy	-3.99	eV per atom
calculated formation energy	-0.6084	eV per atom
space-group type	Pnma
excess energy over the best structure of this formula in the dataset	0	meV per atom

***

Entry 5:
# AcAgAu10

A geometry-optimized AcAgAu10 structure (PBE-GGA, Alexandria via LeMat-Bulk).

a = 4.7496 Å, b = 5.5690 Å, c = 9.6690 Å
α = 90.00°, β = 90.00°, γ = 90.00°
With the nearest neighbours (Å) after each atom.
Element x y z (fractional)
Ac (0.0000, 0.5000, 0.5000)  18 Au 3.35-3.66
Ag (0.0000, 0.0000, 0.0000)  6 Au 2.97-3.16
Au (0.0000, 0.0000, 0.3070)  6 Au 2.81-3.02, 1 Ag 2.97
Au (0.0000, 0.5000, 0.8460)  7 Au 2.80-2.98
Au (0.0000, 0.5000, 0.1540)  7 Au 2.80-2.98
Au (0.0000, 0.0000, 0.6930)  6 Au 2.81-3.02, 1 Ag 2.97
Au (0.5000, 0.0000, 0.5000)  8 Au 2.77-3.02
Au (0.5000, 0.5000, 0.0000)  8 Au 2.80-2.81
Au (0.5000, 0.2545, 0.2540)  8 Au 2.73-2.91
Au (0.5000, 0.7455, 0.7460)  8 Au 2.73-2.91
Au (0.5000, 0.7455, 0.2540)  8 Au 2.73-2.91
Au (0.5000, 0.2545, 0.7460)  8 Au 2.73-2.91

DFT total energy	-3.54	eV per atom
calculated formation energy	-0.2247	eV per atom
space-group type	Pmmm

***

Entry 6:
# Ac2AgAu2

A geometry-optimized Ac2AgAu2 structure (PBE-GGA, Alexandria via LeMat-Bulk).

a = 4.1938 Å, b = 8.3007 Å, c = 8.3007 Å
α = 90.00°, β = 90.00°, γ = 90.00°
With the nearest neighbours (Å) after each atom.
Element x y z (fractional)
Ac (0.5000, 0.1748, 0.6748)  6 Au 3.14-3.29
Ac (0.5000, 0.6748, 0.8252)  6 Au 3.14-3.29
Ac (0.5000, 0.8252, 0.3252)  6 Au 3.14-3.29
Ac (0.5000, 0.3252, 0.1748)  6 Au 3.14-3.29
Ag (0.0000, 0.0000, 0.0000)  4 Au 3.27
Ag (0.0000, 0.5000, 0.5000)  4 Au 3.27
Au (0.0000, 0.3736, 0.8736)  1 Au 2.97, 6 Ac 3.14-3.29, 2 Ag 3.27
Au (0.0000, 0.8736, 0.6264)  1 Au 2.97, 6 Ac 3.14-3.29, 2 Ag 3.27
Au (0.0000, 0.6264, 0.1264)  1 Au 2.97, 6 Ac 3.14-3.29, 2 Ag 3.27
Au (0.0000, 0.1264, 0.3736)  1 Au 2.97, 6 Ac 3.14-3.29, 2 Ag 3.27

DFT total energy	-4.19	eV per atom
calculated formation energy	-0.6655	eV per atom
space-group type	P4/mbm

***

Entry 7:
# Ac3Ag3Au2

A geometry-optimized Ac3Ag3Au2 structure (PBE-GGA, Alexandria via LeMat-Bulk).

a = 4.6522 Å, b = 6.1956 Å, c = 16.9567 Å
α = 90.00°, β = 90.00°, γ = 112.05°
With the nearest neighbours (Å) after each atom.
Element x y z (fractional)
Ac (0.8962, 0.7924, 0.4042)  3 Au 3.32-3.42, 7 Ag 3.33-3.54
Ac (0.1038, 0.2076, 0.9042)  3 Au 3.32-3.42, 7 Ag 3.33-3.54
Ac (0.8962, 0.7924, 0.0958)  3 Au 3.32-3.42, 7 Ag 3.33-3.54
Ac (0.1038, 0.2076, 0.5958)  3 Au 3.32-3.42, 7 Ag 3.33-3.54
Ac (0.6319, 0.2637, 0.2500)  5 Ag 3.24-3.50, 4 Au 3.33
Ac (0.3681, 0.7363, 0.7500)  5 Ag 3.24-3.50, 4 Au 3.33
Ag (0.6027, 0.2055, 0.4553)  1 Ag 2.80, 2 Au 2.81
Ag (0.3973, 0.7945, 0.9553)  1 Ag 2.80, 2 Au 2.81
Ag (0.6027, 0.2055, 0.0447)  1 Ag 2.80, 2 Au 2.81
Ag (0.3973, 0.7945, 0.5447)  1 Ag 2.80, 2 Au 2.81
Ag (0.3497, 0.6995, 0.2500)  2 Au 2.91, 1 Ac 3.24
Ag (0.6503, 0.3005, 0.7500)  2 Au 2.91, 1 Ac 3.24
Au (0.8078, 0.6155, 0.8844)  3 Ag 2.81-2.91
Au (0.1922, 0.3845, 0.3844)  3 Ag 2.81-2.91
Au (0.8078, 0.6155, 0.6156)  3 Ag 2.81-2.91
Au (0.1922, 0.3845, 0.1156)  3 Ag 2.81-2.91

DFT total energy	-3.94	eV per atom
calculated formation energy	-0.5109	eV per atom
space-group type	Cmcm

***

Entry 8:
# AcAg2Au4

A geometry-optimized AcAg2Au4 structure (PBE-GGA, Alexandria via LeMat-Bulk).

a = 5.4927 Å, b = 5.9017 Å, c = 5.9016 Å
α = 77.49°, β = 62.27°, γ = 62.27°
With the nearest neighbours (Å) after each atom.
Element x y z (fractional)
Ac (0.0000, 0.0000, 0.0000)  12 Au 3.20-3.41
Au (0.6940, 0.0000, 0.6120)  4 Au 2.87-2.99, 4 Ag 3.01, 1 Ac 3.20
Au (0.3060, 0.0000, 0.3880)  4 Au 2.87-2.99, 4 Ag 3.01, 1 Ac 3.20
Au (0.3060, 0.3880, 0.0000)  4 Au 2.87-2.99, 4 Ag 3.01, 1 Ac 3.20
Au (0.6940, 0.6120, 0.0000)  4 Au 2.87-2.99, 4 Ag 3.01, 1 Ac 3.20
Ag (0.7500, 0.5000, 0.5000)  2 Ag 2.75, 8 Au 3.01
Ag (0.2500, 0.5000, 0.5000)  2 Ag 2.75, 8 Au 3.01

DFT total energy	-3.71	eV per atom
calculated formation energy	-0.4336	eV per atom
space-group type	I4/mmm
excess energy over the best structure of this formula in the dataset	0	meV per atom

***

Entry 9:
# Ac3AgAu4

A geometry-optimized Ac3AgAu4 structure (PBE-GGA, Alexandria via LeMat-Bulk).

a = 4.3993 Å, b = 7.2866 Å, c = 8.6180 Å
α = 115.01°, β = 104.79°, γ = 90.00°
With the nearest neighbours (Å) after each atom.
Element x y z (fractional)
Ac (0.1824, 0.1824, 0.3648)  6 Au 3.22, 2 Ag 3.51
Ac (0.8176, 0.8176, 0.6352)  6 Au 3.22, 2 Ag 3.51
Ac (0.0000, 0.5000, 0.0000)  8 Au 3.24
Ag (0.5000, 0.0000, 0.0000)  4 Au 2.89
Au (0.3741, 0.5739, 0.7482)  1 Ag 2.89, 1 Au 2.91, 3 Ac 3.22
Au (0.6259, 0.4261, 0.2518)  1 Ag 2.89, 1 Au 2.91, 3 Ac 3.22
Au (0.6259, 0.8257, 0.2518)  1 Ag 2.89, 1 Au 2.91, 3 Ac 3.22
Au (0.3741, 0.1743, 0.7482)  1 Ag 2.89, 1 Au 2.91, 3 Ac 3.22

DFT total energy	-4.19	eV per atom
calculated formation energy	-0.6579	eV per atom
space-group type	Immm

***

Entry 10:
# Ac2Ag15Au2

A geometry-optimized Ac2Ag15Au2 structure (PBE-GGA, Alexandria via LeMat-Bulk).

a = 7.3890 Å, b = 7.3890 Å, c = 7.3890 Å
α = 83.20°, β = 83.20°, γ = 83.20°
With the nearest neighbours (Å) after each atom.
Element x y z (fractional)
Ac (0.3344, 0.3344, 0.3344)  1 Au 3.30, 12 Ag 3.46-3.61
Ac (0.6656, 0.6656, 0.6656)  1 Au 3.30, 12 Ag 3.46-3.61
Ag (0.5000, 0.0000, 0.0000)  8 Ag 2.80-2.86, 2 Au 2.98
Ag (0.0000, 0.0000, 0.5000)  8 Ag 2.80-2.86, 2 Au 2.98
Ag (0.0000, 0.5000, 0.0000)  8 Ag 2.80-2.86, 2 Au 2.98
Ag (0.0000, 0.7029, 0.2971)  8 Ag 2.80-2.97
Ag (0.7029, 0.2971, 0.0000)  8 Ag 2.80-2.97
Ag (0.2971, 0.0000, 0.7029)  8 Ag 2.80-2.97
Ag (0.2971, 0.7029, 0.0000)  8 Ag 2.80-2.97
Ag (0.7029, 0.0000, 0.2971)  8 Ag 2.80-2.97
Ag (0.0000, 0.2971, 0.7029)  8 Ag 2.80-2.97
Ag (0.1569, 0.6508, 0.6508)  8 Ag 2.83-2.97, 1 Au 3.07
Ag (0.6508, 0.6508, 0.1569)  8 Ag 2.83-2.97, 1 Au 3.07
Ag (0.6508, 0.1569, 0.6508)  8 Ag 2.83-2.97, 1 Au 3.07
Ag (0.8431, 0.3492, 0.3492)  8 Ag 2.83-2.97, 1 Au 3.07
Ag (0.3492, 0.3492, 0.8431)  8 Ag 2.83-2.97, 1 Au 3.07
Ag (0.3492, 0.8431, 0.3492)  8 Ag 2.83-2.97, 1 Au 3.07
Au (0.1026, 0.1026, 0.1026)  1 Au 2.92, 12 Ag 2.98-3.26
Au (0.8974, 0.8974, 0.8974)  1 Au 2.92, 12 Ag 2.98-3.26

DFT total energy	-3.16	eV per atom
calculated formation energy	-0.1339	eV per atom
space-group type	R-3m

***

no.,calculated density (g/cm³),M_tot (μB/atom)
1,9.94,0.00
2,12.26,0.00
3,9.49,0.00
4,12.43,0.00
5,14.96,0.00
6,10.99,0.00
7,10.25,0.00
8,13.63,0.00
9,10.90,0.00
10,10.35,0.00